1.
This record from the Alexandria database describes an optimized crystal structure of Ce2GaAg3. The functional is PBE.

Cell: 9.2155 9.2155 9.2155 Å, 156.90 151.70 36.84°
Fractional positions:
Ce 0.0000 0.0000 0.0000
Ce 0.7345 0.2345 0.5000
Ga 0.5793 0.5793 0.0000
Ag 0.1543 0.6543 0.5000
Ag 0.3123 0.8123 0.5000
Ag 0.4260 0.4260 0.0000


2.
This record from the Alexandria database describes an optimized crystal structure of Nd4MgAg3. The functional is PBE.

Cell: 3.6461 4.9212 12.2331 Å, 90.00 90.00 90.00°
Fractional positions:
Nd 0.0000 0.0000 0.0000
Nd 0.0000 0.5000 0.2948
Nd 0.5000 0.0000 0.4827
Nd 0.5000 0.5000 0.8099
Mg 0.0000 0.0000 0.7112
Ag 0.0000 0.5000 0.5774
Ag 0.5000 0.0000 0.2171
Ag 0.5000 0.5000 0.0777


Number 1: electronic total energy -24.4 eV per formula unit, theoretical density 7.7 Mg/m³, ΔE_f -0.16 eV per atom. Number 2: electronic total energy -30.6 eV per formula unit, theoretical density 7.0 Mg/m³, ΔE_f -0.18 eV per atom.